{"formula": "Rb3Mn2F6", "functional": "PBE with a Hubbard U", "state": "optimized geometry", "cell": [[-1.995, -1.895, 3.317], [3.539, -2.327, 0.799], [2.997, 10.209, 4.834]], "species": ["Rb", "Rb", "Rb", "Mn", "Mn", "F", "F", "F", "F", "F", "F"], "fractional_positions": [[0.000, 0.000, 0.000], [0.814, 0.814, 0.629], [0.186, 0.186, 0.371], [0.406, 0.406, 0.812], [0.594, 0.594, 0.188], [0.093, 0.593, 0.187], [0.593, 0.093, 0.187], [0.907, 0.407, 0.813], [0.407, 0.907, 0.813], [0.689, 0.689, 0.379], [0.311, 0.311, 0.621]], "energy_ev_per_atom": -5.11}